(1)
Entry from Alexandria: Mn5Be after structural relaxation (PBE).

Values from the calculation:
Crystal system: monoclinic
Polymorph energy (0 for the lowest one): 0.000 eV per formula unit
Space-group type: No. 12

```
6
Lattice="-1.977 -1.820 -3.580 0.732 -2.296 -3.772 -0.876 -5.385 0.991" Properties=species:S:1:pos:R:3 pbc="T T T"
Be -0.862 -5.201 0.734
Mn -1.410 -6.196 -4.522
Mn -0.683 -2.937 -2.355
Mn -1.143 -5.742 -1.891
Mn -0.424 -2.507 0.235
Mn -0.950 -3.389 -4.990
```

=====

(2)
Entry from Alexandria: MnBe after structural relaxation (PBE).

Values from the calculation:
Crystal system: cubic
Space-group type: No. 225

```
8
Lattice="4.359 0.000 0.000 0.000 4.359 0.000 0.000 0.000 4.359" Properties=species:S:1:pos:R:3 pbc="T T T"
Mn 2.180 2.180 2.180
Mn 2.180 0.000 0.000
Mn 0.000 2.180 0.000
Mn 0.000 0.000 2.180
Be 0.000 0.000 0.000
Be 0.000 2.180 2.180
Be 2.180 0.000 2.180
Be 2.180 2.180 0.000
```

=====

(3)
Entry from Alexandria: Mn6Be23 after structural relaxation (PBE).

Values from the calculation:
Crystal system: cubic
Space-group type: No. 225

```
29
Lattice="6.038 0.000 3.486 2.013 5.692 3.486 0.000 0.000 6.972" Properties=species:S:1:pos:R:3 pbc="T T T"
Mn 2.788 4.596 9.114
Mn 5.262 1.097 4.829
Mn 1.551 1.097 6.972
Mn 6.499 4.596 6.972
Mn 2.788 4.596 4.829
Mn 5.262 1.097 9.114
Be 4.025 2.846 6.972
Be 3.019 0.000 1.743
Be 1.006 2.846 5.229
Be 4.025 2.846 3.486
Be 0.000 0.000 3.486
Be 3.019 0.000 5.229
Be 1.006 2.846 1.743
Be 2.085 3.532 6.972
Be 4.995 3.532 5.292
Be 4.025 0.789 6.972
Be 4.995 3.532 8.652
Be 3.055 2.160 8.652
Be 5.965 2.160 6.972
Be 4.025 4.904 6.972
Be 3.055 2.160 5.292
Be 4.708 4.739 10.457
Be 6.702 4.739 9.306
Be 6.038 2.859 10.457
Be 6.702 4.739 11.609
Be 1.348 0.953 4.637
Be 3.342 0.953 3.486
Be 2.013 2.833 3.486
Be 1.348 0.953 2.335
```

=====

(4)
Entry from Alexandria: Mn3Be after structural relaxation (PBE).

Values from the calculation:
Crystal system: cubic
Space-group type: No. 223

```
8
Lattice="-2.709 0.575 -3.293 3.232 -0.633 -2.769 -0.855 -4.217 -0.033" Properties=species:S:1:pos:R:3 pbc="T T T"
Be 0.000 0.000 0.000
Be -0.166 -2.138 -3.048
Mn -0.416 0.114 -3.855
Mn 0.939 -0.173 -2.208
Mn 1.997 -2.584 -2.093
Mn 0.381 -2.267 -0.709
Mn -1.568 -0.767 -1.655
Mn -1.996 -2.875 -1.671
```

=====

(5)
Entry from Alexandria: Mn3Be after structural relaxation (PBE).

Values from the calculation:
Crystal system: monoclinic
Space-group type: No. 10

```
4
Lattice="-1.737 -1.087 3.181 0.272 -2.290 -0.634 4.042 -1.053 1.847" Properties=species:S:1:pos:R:3 pbc="T T T"
Be 0.000 0.000 0.000
Mn 2.412 -3.003 2.541
Mn 2.157 -1.672 0.607
Mn 0.165 -1.428 1.853
```

=====

(6)
Entry from Alexandria: MnBe after structural relaxation (PBE).

Values from the calculation:
Crystal system: trigonal
Space-group type: No. 164

```
4
Lattice="-0.436 0.960 -2.201 -1.847 -0.865 1.341 -0.899 6.780 3.137" Properties=species:S:1:pos:R:3 pbc="T T T"
Be -0.006 0.043 0.020
Be -1.125 2.004 -0.256
Mn -0.448 3.378 1.563
Mn -1.582 5.450 1.338
```

=====

(7)
Entry from Alexandria: MnBe after structural relaxation (PBE).

Values from the calculation:
Crystal system: tetragonal
Space-group type: No. 136

```
8
Lattice="4.350 0.000 0.000 0.000 4.350 0.000 0.000 0.000 4.321" Properties=species:S:1:pos:R:3 pbc="T T T"
Mn 1.356 1.356 0.000
Mn 3.531 0.819 2.161
Mn 0.819 3.531 2.161
Mn 2.994 2.994 0.000
Be 0.784 3.566 0.000
Be 2.959 2.959 2.161
Be 1.391 1.391 2.161
Be 3.566 0.784 0.000
```

=====

(8)
Entry from Alexandria: MnBe after structural relaxation (PBE).

Values from the calculation:
Crystal system: monoclinic
Space-group type: No. 8

```
6
Lattice="1.314 -3.771 1.986 1.852 -4.005 -0.646 4.971 0.554 0.967" Properties=species:S:1:pos:R:3 pbc="T T T"
Mn 2.771 -2.175 0.760
Mn 5.860 -7.179 1.838
Mn 5.522 -1.855 1.294
Be 3.337 -7.715 1.370
Be 5.611 -4.619 1.559
Be 3.120 -4.694 1.057
```

=====

(9)
Entry from Alexandria: MnBe after structural relaxation (PBE).

Values from the calculation:
Crystal system: cubic
Space-group type: No. 198

```
8
Lattice="4.305 0.000 0.000 0.000 4.305 0.000 0.000 0.000 4.305" Properties=species:S:1:pos:R:3 pbc="T T T"
Mn 1.746 3.899 2.559
Mn 0.406 0.406 0.406
Mn 2.559 1.746 3.899
Mn 3.899 2.559 1.746
Be 0.415 2.568 3.890
Be 1.737 1.737 1.737
Be 3.890 0.415 2.568
Be 2.568 3.890 0.415
```

=====

(10)
Entry from Alexandria: Mn3Be after structural relaxation (PBE).

Values from the calculation:
Crystal system: hexagonal
Space-group type: No. 194

```
8
Lattice="0.007 4.761 0.485 -0.538 -2.796 3.846 3.998 -0.058 0.517" Properties=species:S:1:pos:R:3 pbc="T T T"
Mn 0.652 2.093 3.050
Mn 0.909 1.145 0.959
Mn 0.912 3.443 1.193
Mn 2.814 -0.187 1.798
Mn 2.558 0.762 3.889
Mn 2.554 -1.537 3.655
Be 0.643 -0.292 2.855
Be 2.824 2.198 1.993
```

=====

(11)
Entry from Alexandria: MnBe2 after structural relaxation (PBE).

Values from the calculation:
Crystal system: monoclinic
Space-group type: No. 12

```
6
Lattice="-2.201 0.203 -3.729 -1.789 -2.003 -3.402 -5.752 -0.920 1.038" Properties=species:S:1:pos:R:3 pbc="T T T"
Mn -4.084 -1.626 -5.833
Mn -5.658 -1.095 -0.261
Be -6.186 -1.519 -2.463
Be -3.328 -0.706 -0.574
Be -6.415 -2.014 -5.520
Be -3.557 -1.201 -3.630
```

=====

(12)
Entry from Alexandria: Mn5Be after structural relaxation (PBE).

Values from the calculation:
Crystal system: orthorhombic
Polymorph energy (0 for the lowest one): 0.267 eV per formula unit
Space-group type: No. 65

```
6
Lattice="2.710 0.000 0.000 0.000 3.927 0.000 0.000 -1.964 5.910" Properties=species:S:1:pos:R:3 pbc="T T T"
Be 0.000 0.000 0.000
Mn 0.000 1.964 2.029
Mn 0.000 0.000 3.882
Mn 1.355 1.964 0.000
Mn 1.355 0.000 1.842
Mn 1.355 1.964 4.068
```

=====

(13)
Entry from Alexandria: Mn2Be17 after structural relaxation (PBE).

Values from the calculation:
Crystal system: trigonal
Space-group type: No. 166

```
19
Lattice="-3.036 0.843 -4.439 0.388 -5.005 -2.104 -4.688 -1.968 1.944" Properties=species:S:1:pos:R:3 pbc="T T T"
Mn -2.449 -2.047 -1.535
Mn -4.887 -4.084 -3.064
Be -2.488 -3.033 -3.948
Be -3.296 -4.408 -0.826
Be -6.595 -5.512 -4.135
Be -0.740 -0.619 -0.464
Be -2.344 -0.984 0.972
Be 0.194 -2.503 -1.052
Be -1.518 0.421 -2.220
Be -0.662 -3.211 -2.820
Be -3.543 -0.019 -2.481
Be -3.131 -2.900 0.702
Be -1.985 -0.951 -3.723
Be -4.181 -1.106 -0.014
Be -1.169 -4.074 -0.862
Be -4.039 -1.723 -3.773
Be -4.848 -3.098 -0.651
Be -2.365 -4.583 -2.631
Be -4.971 -1.547 -1.968
```

=====

(14)
Entry from Alexandria: MnBe6 after structural relaxation (PBE).

Values from the calculation:
Crystal system: cubic
Polymorph energy (0 for the lowest one): 10.565 eV per formula unit
Space-group type: No. 221

```
7
Lattice="4.829 0.000 0.000 0.000 4.829 0.000 0.000 0.000 4.829" Properties=species:S:1:pos:R:3 pbc="T T T"
Mn 0.000 0.000 0.000
Be 0.950 2.414 2.414
Be 2.414 2.414 3.879
Be 2.414 2.414 0.950
Be 2.414 0.950 2.414
Be 2.414 3.879 2.414
Be 3.879 2.414 2.414
```

=====

(15)
Entry from Alexandria: MnBe after structural relaxation (PBE).

Values from the calculation:
Crystal system: orthorhombic
Space-group type: No. 19

```
16
Lattice="4.197 0.000 0.000 0.000 4.263 0.000 0.000 0.000 8.167" Properties=species:S:1:pos:R:3 pbc="T T T"
Mn 3.651 2.692 3.999
Mn 1.553 3.703 4.168
Mn 0.546 0.561 0.085
Mn 2.644 1.571 8.082
Mn 1.627 1.594 2.383
Mn 3.726 0.538 5.784
Mn 2.570 3.725 1.701
Mn 0.471 2.670 6.466
Be 1.430 1.552 4.589
Be 3.528 0.580 3.578
Be 2.767 3.683 7.661
Be 0.669 2.712 0.505
Be 0.474 3.758 2.231
Be 2.573 2.637 5.936
Be 3.723 1.626 1.853
Be 1.624 0.506 6.314
```

=====

(16)
Entry from Alexandria: Mn3Be after structural relaxation (PBE).

Values from the calculation:
Crystal system: tetragonal
Space-group type: No. 123

```
4
Lattice="-0.589 -3.686 -0.882 3.773 -0.653 0.209 -0.255 -0.607 2.710" Properties=species:S:1:pos:R:3 pbc="T T T"
Be 0.000 0.000 0.000
Mn -0.422 -2.147 0.914
Mn 1.592 -2.169 -0.336
Mn 1.759 -0.630 1.459
```

=====

(17)
Entry from Alexandria: MnBe2 after structural relaxation (PBE).

Values from the calculation:
Crystal system: hexagonal
Space-group type: No. 194

```
12
Lattice="-0.023 -2.320 -3.442 2.621 -0.899 3.091 -4.648 -4.055 2.763" Properties=species:S:1:pos:R:3 pbc="T T T"
Be 0.000 0.000 0.000
Be -2.324 -2.028 1.382
Be 0.548 -3.531 -0.127
Be -2.598 -3.742 2.539
Be -0.724 -1.956 0.045
Be -0.735 -3.091 -1.640
Be -1.315 -4.182 4.051
Be -1.326 -5.317 2.366
Mn 1.455 -1.621 1.083
Mn -1.751 -4.122 0.286
Mn -3.504 -5.652 1.329
Mn -0.299 -3.151 2.125
```

=====

(18)
Entry from Alexandria: MnBe after structural relaxation (PBE).

Values from the calculation:
Crystal system: orthorhombic
Space-group type: No. 67

```
4
Lattice="2.347 -0.006 0.000 -0.832 2.195 0.000 0.000 0.000 7.520" Properties=species:S:1:pos:R:3 pbc="T T T"
Be 0.000 0.000 7.481
Be 0.758 1.095 5.679
Mn 0.000 0.000 3.797
Mn 0.758 1.095 1.843
```

=====

(19)
Entry from Alexandria: MnBe after structural relaxation (PBE).

Values from the calculation:
Crystal system: trigonal
Space-group type: No. 166

```
4
Lattice="-3.740 3.230 -5.985 -4.913 1.102 -5.907 -5.623 2.934 -4.474" Properties=species:S:1:pos:R:3 pbc="T T T"
Be -0.003 0.001 -0.003
Be -10.704 5.448 -12.270
Mn -7.138 3.633 -8.183
Mn -3.569 1.816 -4.091
```

=====

(20)
Entry from Alexandria: MnBe6 after structural relaxation (PBE).

Values from the calculation:
Crystal system: orthorhombic
Polymorph energy (0 for the lowest one): 0.000 eV per formula unit
Space-group type: No. 62

```
28
Lattice="4.123 0.000 0.000 0.000 6.689 0.000 0.000 0.000 8.333" Properties=species:S:1:pos:R:3 pbc="T T T"
Mn 3.092 1.684 7.723
Mn 1.031 5.005 0.610
Mn 3.092 5.029 4.776
Mn 1.031 1.660 3.557
Be 3.092 4.006 0.159
Be 1.031 2.683 8.174
Be 3.092 0.661 4.008
Be 1.031 6.028 4.325
Be 0.031 2.957 1.599
Be 2.092 3.732 6.734
Be 2.030 6.302 2.567
Be 4.092 0.387 5.766
Be 4.092 3.732 6.734
Be 2.030 2.957 1.599
Be 2.092 0.387 5.766
Be 0.031 6.302 2.567
Be 1.031 1.005 1.240
Be 3.092 5.685 7.093
Be 1.031 4.349 2.927
Be 3.092 2.340 5.406
Be 1.031 5.362 6.233
Be 3.092 1.327 2.100
Be 1.031 2.018 6.266
Be 3.092 4.672 2.067
Be 1.031 3.684 4.878
Be 3.092 3.005 3.455
Be 1.031 0.339 7.621
Be 3.092 6.350 0.712
```

=====

(21)
Entry from Alexandria: MnBe2 after structural relaxation (PBE).

Values from the calculation:
Crystal system: monoclinic
Space-group type: No. 8

```
6
Lattice="1.931 -4.009 -0.351 3.480 -2.476 -1.297 3.160 -0.409 4.510" Properties=species:S:1:pos:R:3 pbc="T T T"
Mn 1.555 -0.511 1.718
Mn 4.071 -4.694 -0.940
Be 8.517 -6.869 2.815
Be 5.745 -4.629 1.907
Be 2.874 -2.326 0.936
Be 4.381 -2.804 2.629
```

=====

(22)
Entry from Alexandria: Mn3Be after structural relaxation (PBE).

Values from the calculation:
Crystal system: orthorhombic
Space-group type: No. 62

```
16
Lattice="4.443 0.000 0.000 0.000 5.272 0.000 0.000 0.000 6.974" Properties=species:S:1:pos:R:3 pbc="T T T"
Be 2.675 4.713 5.231
Be 0.453 3.195 1.744
Be 3.989 2.077 5.231
Be 1.768 0.559 1.744
Mn 0.551 0.101 5.231
Mn 2.772 2.535 1.744
Mn 1.671 2.737 5.231
Mn 3.892 5.171 1.744
Mn 2.808 1.002 6.714
Mn 0.587 1.634 0.261
Mn 3.856 3.638 3.748
Mn 1.634 4.269 3.226
Mn 1.634 4.269 0.261
Mn 3.856 3.638 6.714
Mn 0.587 1.634 3.226
Mn 2.808 1.002 3.748
```

=====

(23)
Entry from Alexandria: Mn5Be after structural relaxation (PBE).

Values from the calculation:
Crystal system: orthorhombic
Polymorph energy (0 for the lowest one): 0.187 eV per formula unit
Space-group type: No. 38

```
6
Lattice="-2.155 3.844 4.524 1.333 -1.861 -5.887 -3.574 -1.673 -0.281" Properties=species:S:1:pos:R:3 pbc="T T T"
Mn 0.172 0.039 -2.419
Mn -0.978 1.919 1.011
Mn -2.027 -0.124 -1.330
Mn -3.171 1.747 2.083
Mn -0.844 -2.060 -4.863
Be -2.140 3.821 4.481
```

=====

Calculated magnetization, 0.0005; 0.9045; 0.2094; 0.0001; 0.1011; 0.0001; 0.8141; 0.0072; 0.9684; 0.0000; 0.0000; 0.6324; 0.2186; 0.5865; 0.0001; 0.5662; 0.2124; 0.0002; 0.0000; 0.1350; 0.1475; 0.1401; 0.0316 μB per atom (same order as the records).
Calculated total energy, -0.6075; -0.4390; -0.3654; -0.5811; -0.5746; -0.4709; -0.4427; -0.4803; -0.4633; -0.5741; -0.4095; -0.6043; -0.3225; -0.2246; -0.4781; -0.5719; -0.4262; -0.4685; -0.4685; -0.3355; -0.4073; -0.5696; -0.6052 Ry/atom (same order as the records).